Record 1
Below is a geometry-optimized Ce6HRu2 structure, with properties calculated at the PBE-GGA level.

The structure in POSCAR format:
```
Ce6HRu2
1.0
6.1650 0.0000 0.0000
0.0000 6.9574 0.0000
-6.1580 0.0000 9.6268
Ce H Ru
12 2 4
Cartesian
-2.2739 1.0263 4.2988
-5.3529 2.4524 9.1122
-0.8257 4.5131 4.2904
-3.9047 5.9229 9.1038
0.7708 0.2989 2.4078
-2.3082 3.1798 7.2212
2.3152 3.7776 2.4056
-0.7638 6.6585 7.2191
3.9117 1.0344 0.5230
0.8327 2.4443 5.3364
5.3599 4.5050 0.5146
2.2809 5.9311 5.3281
0.0035 0.0000 4.8134
3.0825 3.4787 0.0000
-3.5102 1.0164 7.2136
-0.4312 2.4622 2.4002
0.4382 4.4951 7.2266
3.5172 5.9409 2.4132
```

Computed properties:
The space-group type is P2_1/c. Its electronic total energy is -6.65 eV per atom. The magnetic moment comes out at 0.001 μB/atom.

Record 2
Below is a geometry-optimized Ac2ZnIn6Pd structure, with properties calculated at the PBE-GGA level.

The structure in POSCAR format:
```
Ac2ZnIn6Pd
1.0
5.2207 -5.2529 0.0000
5.2207 5.2529 0.0000
-4.9551 0.0000 5.2630
Ac Zn In Pd
2 1 6 1
Cartesian
5.2207 2.9670 0.0000
5.2207 -2.9670 0.0000
-2.4775 0.0000 2.6315
2.7432 2.6378 2.6315
-2.0849 0.0000 5.2507
0.1308 0.0000 2.9731
5.3556 0.0000 2.2899
7.5712 0.0000 0.0124
2.7432 -2.6378 2.6315
2.7432 0.0000 2.6315
```

Computed properties:
As for the formation energy: -0.192 eV/atom. The space-group type is C2/m. Its electronic total energy is -3.30 eV per atom. The magnetic moment comes out at 0.000 μB/atom.

Record 3
Below is a geometry-optimized CsTcF6 structure, with properties calculated at the PBE-GGA level.

The structure in POSCAR format:
```
CsTcF6
1.0
2.9032 1.6762 5.3640
-2.9032 1.6762 5.3640
0.0000 -3.3523 5.3640
Cs Tc F
1 1 6
Cartesian
0.0000 0.0000 0.0000
0.0000 0.0000 8.0460
-1.3426 -0.7752 6.9364
0.0000 -1.5504 9.1556
-1.3426 0.7752 9.1556
1.3426 -0.7752 6.9364
0.0000 1.5503 6.9364
1.3426 0.7752 9.1556
```

Computed properties:
The space-group type is R-3m. Its electronic total energy is -5.17 eV per atom. The magnetic moment comes out at 0.250 μB/atom. The calculation puts the formation energy without anion corrections at -18.89 eV per formula unit.

Record 4
Below is a geometry-optimized CsIn3Sn structure, with properties calculated at the PBE-GGA level.

The structure in POSCAR format:
```
CsIn3Sn
1.0
5.9221 0.0000 0.0000
0.0000 5.9221 0.0000
0.0000 0.0000 5.9221
Cs In Sn
1 3 1
Cartesian
0.0000 0.0000 0.0000
0.0000 2.9611 2.9611
2.9611 0.0000 2.9611
2.9611 2.9611 0.0000
2.9611 2.9611 2.9611
```

Computed properties:
As for the formation energy: 0.173 eV/atom. The space-group type is Pm-3m. Its electronic total energy is -2.44 eV per atom. The magnetic moment comes out at 0.000 μB/atom.

Record 5
Below is a geometry-optimized HoBiCl structure, with properties calculated at the PBE-GGA level.

The structure in POSCAR format:
```
HoBiCl
1.0
4.9429 0.0000 0.0000
-2.4714 4.2807 0.0000
0.0000 0.0000 3.7107
Ho Bi Cl
1 1 1
Cartesian
0.0000 0.0000 0.0000
2.4714 1.4269 1.8553
0.0000 2.8538 0.0000
```

Computed properties:
The space-group type is P-6m2. Its electronic total energy is -4.42 eV per atom. The magnetic moment comes out at 0.000 μB/atom. The calculation puts the formation energy without anion corrections at -2.96 eV per formula unit.

Record 6
Below is a geometry-optimized Nb2FeWN structure, with properties calculated at the PBE-GGA level.

The structure in POSCAR format:
```
Nb2FeWN
1.0
4.5639 0.0000 0.0000
0.0000 4.5639 0.0000
0.0000 0.0000 4.3818
Nb Fe W N
2 1 1 1
Cartesian
0.0000 2.2820 0.0000
2.2820 0.0000 0.0000
0.0000 0.0000 0.0000
0.0000 0.0000 2.1909
2.2820 2.2820 2.1909
```

Computed properties:
The space-group type is P4/mmm. Its electronic total energy is -8.10 eV per atom. The magnetic moment comes out at 0.000 μB/atom. The calculation puts the formation energy without anion corrections at 9.37 eV per formula unit.

Record 7
Below is a geometry-optimized SbIr2Br structure, with properties calculated at the PBE-GGA level.

The structure in POSCAR format:
```
SbIr2Br
1.0
3.1034 0.0000 0.0000
0.0000 4.5677 0.0000
-0.0513 0.0000 5.1872
Sb Ir Br
1 2 1
Cartesian
0.0000 0.0000 0.0000
0.7582 2.2839 3.9312
2.2939 2.2839 1.2560
1.5261 0.0000 2.5936
```

Computed properties:
The space-group type is P2/m. Its electronic total energy is -5.11 eV per atom. The magnetic moment comes out at 0.000 μB/atom. The calculation puts the formation energy without anion corrections at 3.10 eV per formula unit.

Record 8
Below is a geometry-optimized Zr2AsS structure, with properties calculated at the PBE-GGA level.

The structure in POSCAR format:
```
Zr2AsS
1.0
-2.9505 2.9505 5.9290
2.9505 -2.9505 5.9290
2.9505 2.9505 -5.9290
Zr As S
4 2 2
Cartesian
4.4258 1.3814 -1.4822
1.3814 1.4753 1.4822
-1.4753 1.5692 4.4467
1.5692 1.4753 7.4112
2.9505 0.0000 2.9645
0.0000 0.0000 5.9290
0.0000 0.0000 0.0000
0.0000 2.9505 2.9645
```

Computed properties:
The space-group type is I-42d. Its electronic total energy is -7.18 eV per atom. The magnetic moment comes out at 0.000 μB/atom. The calculation puts the formation energy without anion corrections at -2.85 eV per formula unit.

Record 9
Below is a geometry-optimized Hf2HRh structure, with properties calculated at the PBE-GGA level.

The structure in POSCAR format:
```
Hf2HRh
1.0
1.5890 0.9174 6.7724
-1.5890 0.9174 6.7724
0.0000 -1.8348 6.7724
Hf H Rh
2 1 1
Cartesian
0.0000 0.0000 4.6947
0.0000 0.0000 15.6225
0.0000 0.0000 10.1586
0.0000 0.0000 0.0000
```

Computed properties:
The space-group type is R-3m. Its electronic total energy is -7.99 eV per atom. The magnetic moment comes out at 0.000 μB/atom.

Record 10
Below is a geometry-optimized RbTcP2Cl structure, with properties calculated at the PBE-GGA level.

The structure in POSCAR format:
```
RbTcP2Cl
1.0
4.5779 0.0000 0.0000
0.0000 4.5779 0.0000
0.0000 0.0000 5.7117
Rb Tc P Cl
1 1 2 1
Cartesian
0.0000 0.0000 0.0000
2.2890 2.2890 2.8558
0.0000 2.2890 2.8558
2.2890 0.0000 2.8558
2.2890 2.2890 0.0000
```

Computed properties:
The space-group type is P4/mmm. Its electronic total energy is -5.09 eV per atom. The magnetic moment comes out at 0.000 μB/atom. The calculation puts the formation energy without anion corrections at -1.43 eV per formula unit.

Record 11
Below is a geometry-optimized TcNi2B structure, with properties calculated at the PBE-GGA level.

The structure in POSCAR format:
```
TcNi2B
1.0
-1.6113 1.6113 8.6003
1.6113 -1.6113 8.6003
1.6113 1.6113 -8.6003
Tc Ni B
2 4 2
Cartesian
0.0000 0.0000 0.0000
0.0000 1.6113 4.3002
0.8056 -0.7655 6.4502
0.8458 0.8056 2.1501
0.8056 2.3768 -2.1501
0.7655 0.8056 10.7504
1.6113 0.0000 4.3002
0.0000 0.0000 8.6003
```

Computed properties:
As for the formation energy: 0.353 eV/atom. The space-group type is I-42d. Its electronic total energy is -6.80 eV per atom. The magnetic moment comes out at 0.000 μB/atom.

Record 12
Below is a geometry-optimized Cs4Dy3ThS8 structure, with properties calculated at the PBE-GGA level.

The structure in POSCAR format:
```
Cs4Dy3ThS8
1.0
4.1202 2.3788 8.0898
-4.1202 2.3788 8.0898
0.0000 -4.7576 8.0898
Cs Dy Th S
4 3 1 8
Cartesian
0.0000 0.0000 0.0000
-2.0601 -1.1894 8.0898
-2.0601 1.1894 16.1795
0.0000 2.3788 8.0898
-4.1202 0.0000 12.1346
-2.0601 1.1894 4.0449
2.0601 1.1894 4.0449
0.0000 0.0000 12.1346
-2.0744 -1.1976 13.6199
0.0000 0.0000 5.5064
0.0000 -2.3953 10.6494
-2.0744 1.1976 10.6494
2.0744 -1.1976 13.6199
0.0000 2.3953 13.6199
0.0000 0.0000 18.7629
2.0744 1.1977 10.6494
```

Computed properties:
The space-group type is R-3m. Its electronic total energy is -5.39 eV per atom. The magnetic moment comes out at 0.000 μB/atom. The calculation puts the formation energy without anion corrections at -28.60 eV per formula unit.